Compound: CsAg2Hg9
Source: Alexandria
Functional: PBE
Structure: optimized geometry

Results
SG	P6/mmm, No. 191
ΔH_f (0 K)	-0.351	eV per formula unit
total DFT energy (no corrections)	-0.802	eV/atom

Geometry as POSCAR:
```
CsAg2Hg9
1.0
9.674 0.000 0.000
-4.837 8.378 0.000
0.000 0.000 4.237
Cs Ag Hg
1 2 9
direct
0.000 0.000 0.000
0.333 0.667 0.000
0.667 0.333 0.000
0.000 0.500 0.000
0.196 0.392 0.500
0.196 0.804 0.500
0.392 0.196 0.500
0.500 0.000 0.000
0.500 0.500 0.000
0.608 0.804 0.500
0.804 0.196 0.500
0.804 0.608 0.500
```